Density functional theory data (PBE) for an optimized crystal structure of KMgRe2.

Cell lengths 5.842, 5.842, 2.658 Å; angles 90.00, 90.00, 125.26 degrees
Element x y z (fractional)
K: 0.500 0.000 0.500
Mg: 0.000 0.500 0.500
Re: 0.000 0.000 0.000
Re: 0.500 0.500 0.000

## Properties
Space-group type = Cmmm
Excess energy over the best structure of this formula in the dataset = 667.9 meV per atom
Raw total energy = -22.75 eV per cell

Density functional theory data (PBE) for an optimized crystal structure of K2MgRe.

Cell lengths 6.527, 6.527, 6.527 Å; angles 141.68, 141.68, 55.32 degrees
Element x y z (fractional)
K: 0.000 0.000 0.000
K: 0.500 0.500 0.000
Mg: 0.250 0.750 0.500
Re: 0.750 0.250 0.500

## Properties
Space-group type = I4/mmm
Excess energy over the best structure of this formula in the dataset = 473.4 meV per atom
Raw total energy = -10.66 eV per cell

Density functional theory data (PBE) for an optimized crystal structure of KMg2Re.

Cell lengths 11.217, 11.217, 11.217 Å; angles 15.31, 15.31, 15.31 degrees
Element x y z (fractional)
K: 0.750 0.750 0.750
Mg: 0.985 0.985 0.985
Mg: 0.515 0.515 0.515
Re: 0.250 0.250 0.250

## Properties
Space-group type = R-3m
Excess energy over the best structure of this formula in the dataset = 13.1 meV per atom
Raw total energy = -14.27 eV per cell

Density functional theory data (PBE) for an optimized crystal structure of K2MgRe.

Cell lengths 5.767, 5.767, 5.767 Å; angles 60.00, 60.00, 60.00 degrees
Element x y z (fractional)
Re: 0.500 0.500 0.500
K: 0.250 0.250 0.250
K: 0.750 0.750 0.750
Mg: 0.000 0.000 0.000

## Properties
Space-group type = Fm-3m
Excess energy over the best structure of this formula in the dataset = 626.8 meV per atom
Raw total energy = -10.05 eV per cell

Density functional theory data (PBE) for an optimized crystal structure of KMgRe2.

Cell lengths 4.406, 4.406, 7.991 Å; angles 86.47, 86.47, 39.23 degrees
Element x y z (fractional)
K: 0.504 0.504 0.471
Mg: 0.731 0.731 0.840
Re: 0.997 0.997 0.042
Re: 0.269 0.269 0.148

## Properties
Space-group type = Cm
Excess energy over the best structure of this formula in the dataset = 172.1 meV per atom
Raw total energy = -24.73 eV per cell

Density functional theory data (PBE) for an optimized crystal structure of KMgRe2.

Cell lengths 4.664, 4.664, 4.664 Å; angles 60.00, 60.00, 60.00 degrees
Element x y z (fractional)
K: 0.500 0.500 0.500
Mg: 0.750 0.750 0.750
Re: 0.000 0.000 0.000
Re: 0.250 0.250 0.250

## Properties
Space-group type = F-43m
Excess energy over the best structure of this formula in the dataset = 743.5 meV per atom
Raw total energy = -22.45 eV per cell

Density functional theory data (PBE) for an optimized crystal structure of KMgRe2.

Cell lengths 2.696, 2.696, 10.584 Å; angles 90.00, 90.00, 108.28 degrees
Element x y z (fractional)
K: 0.500 0.500 0.250
Mg: 0.500 0.500 0.750
Re: 0.000 0.000 0.968
Re: 0.000 0.000 0.532

## Properties
Space-group type = Cmmm
Excess energy over the best structure of this formula in the dataset = 306.5 meV per atom
Raw total energy = -24.20 eV per cell

Density functional theory data (PBE) for an optimized crystal structure of K2MgRe.

Cell lengths 2.987, 2.987, 12.298 Å; angles 90.00, 90.00, 90.00 degrees
Element x y z (fractional)
K: 0.000 0.000 0.940
K: 0.500 0.500 0.286
Mg: 0.000 0.000 0.558
Re: 0.500 0.500 0.716

## Properties
Space-group type = P4mm
Excess energy over the best structure of this formula in the dataset = 80.5 meV per atom
Raw total energy = -12.24 eV per cell

Q: Among the records above, which one has the highest raw total energy?
A: number 4